Entry from OQMD via LeMat-Bulk: a geometry-optimized PaHgPb structure (PBE).

## Properties
Space group: F-43m, No. 216
E (eV/atom): -4.11

a = 5.1583 Å, b = 5.1583 Å, c = 5.1583 Å
α = 60.00°, β = 60.00°, γ = 60.00°
With the nearest neighbours (Å) after each atom.
Fractional positions:
Pa 0.0000 0.0000 0.0000  4 Hg 3.16, 4 Pb 3.16
Hg 0.7500 0.7500 0.7500  4 Pa 3.16
Pb 0.2500 0.2500 0.2500  4 Pa 3.16